A relaxed NbZn2Rh5 crystal. Source: Alexandria via LeMat-Bulk, functional GGA-PBE.

Cell lengths 4.019, 4.019, 14.257 Å; angles 90.00, 90.00, 90.00 degrees
Space group I4/mmm (No. 139)
Symmetry-distinct sites (fractional):
Nb (0.000, 0.000, 0.000)
Zn (0.000, 0.000, 0.251)
Rh (0.000, 0.000, 0.500)
Rh (0.000, 0.500, 0.129)

Calculated values
The calculated density is 10647 kg/m³. The energy of formation is -42 kJ per mole of atoms. For the total energy, the calculation gives -6.608 eV/atom.